Record 1
Computed, not measured: a relaxed structure of NbFePdI2 at the GGA-PBE level of DFT.

Unit cell a=5.4846 b=5.4846 c=4.7223 alpha=90.00 beta=90.00 gamma=90.00
Closest atoms and distances in Å follow each position.
Space group P4/mmm (No. 123)
Symmetry-distinct sites (fractional):
Nb1 0.0000 0.0000 0.0000 x1  2 Fe 2.36
Fe1 0.0000 0.0000 0.5000 x1  2 Nb 2.36
Pd1 0.5000 0.5000 0.5000 x1  8 I 3.62, 4 Fe 3.88
I1 0.0000 0.5000 0.0000 x2  2 Nb 2.74

Computed properties:
For the uncorrected formation energy, the calculation gives 5.0 eV/f.u. For the magnetic moment, the calculation gives 2.13 μB/f.u. The calculation puts the volume at 28.410 Å³ per atom.

***

Record 2
Computed, not measured: a relaxed structure of Rb2NbFeI6 at the GGA-PBE level of DFT.

Unit cell a=11.5177 b=11.5177 c=11.5177 alpha=90.00 beta=90.00 gamma=90.00
Closest atoms and distances in Å follow each position.
Space group Fm-3m (No. 225)
Symmetry-distinct sites (fractional):
Rb1 0.2500 0.2500 0.2500 x8  12 I 4.07
Nb1 0.0000 0.0000 0.0000 x4  6 I 2.91
Fe1 0.0000 0.0000 0.5000 x4  6 I 2.85
I1 0.0000 0.0000 0.2523 x24  1 Fe 2.85, 1 Nb 2.91

Computed properties:
For the uncorrected formation energy, the calculation gives -5.7 eV/f.u. For the magnetic moment, the calculation gives 6.00 μB/f.u. The calculation puts the volume at 38.198 Å³ per atom.

***

Record 3
Computed, not measured: a relaxed structure of Rb2NbFeI at the GGA-PBE level of DFT.

Unit cell a=7.2438 b=7.2438 c=5.4360 alpha=90.00 beta=90.00 gamma=90.00
Closest atoms and distances in Å follow each position.
Space group P4/mmm (No. 123)
Symmetry-distinct sites (fractional):
Rb1 0.0000 0.5000 0.0000 x2  2 Nb 3.62
Nb1 0.0000 0.0000 0.0000 x1  2 I 2.72
Fe1 0.5000 0.5000 0.5000 x1  8 Rb 4.53
I1 0.0000 0.0000 0.5000 x1  2 Nb 2.72

Computed properties:
For the uncorrected formation energy, the calculation gives 6.2 eV/f.u. For the magnetic moment, the calculation gives 7.23 μB/f.u. The calculation puts the volume at 57.048 Å³ per atom.

***

Record 4
Computed, not measured: a relaxed structure of Nb2FeSbI at the GGA-PBE level of DFT.

Unit cell a=5.1225 b=5.1225 c=4.5067 alpha=90.00 beta=90.00 gamma=90.00
Closest atoms and distances in Å follow each position.
Space group P4/mmm (No. 123)
Symmetry-distinct sites (fractional):
Nb1 0.0000 0.5000 0.0000 x2  2 I 2.56
Fe1 0.0000 0.0000 0.5000 x1  2 I 2.25
Sb1 0.5000 0.5000 0.5000 x1  8 Nb 3.41, 4 Fe 3.62
I1 0.0000 0.0000 0.0000 x1  2 Fe 2.25

Computed properties:
For the uncorrected formation energy, the calculation gives 7.0 eV/f.u. For the magnetic moment, the calculation gives 0.84 μB/f.u. The calculation puts the volume at 23.652 Å³ per atom.

***

Record 5
Computed, not measured: a relaxed structure of SrNb2FeI at the GGA-PBE level of DFT.

Unit cell a=5.2591 b=5.2591 c=4.4068 alpha=90.00 beta=90.00 gamma=90.00
Closest atoms and distances in Å follow each position.
Space group P4/mmm (No. 123)
Symmetry-distinct sites (fractional):
Sr1 0.0000 0.0000 0.0000 x1  2 Fe 2.20
Nb1 0.0000 0.5000 0.0000 x2  2 Sr 2.63
Fe1 0.0000 0.0000 0.5000 x1  2 Sr 2.20
I1 0.5000 0.5000 0.5000 x1  8 Nb 3.43, 4 Fe 3.72

Computed properties:
For the uncorrected formation energy, the calculation gives 13.0 eV/f.u. For the magnetic moment, the calculation gives 0.00 μB/f.u. The calculation puts the volume at 24.377 Å³ per atom.

***

Record 6
Computed, not measured: a relaxed structure of TaNb2FeI at the GGA-PBE level of DFT.

Unit cell a=5.0118 b=5.0118 c=4.3504 alpha=90.00 beta=90.00 gamma=90.00
Closest atoms and distances in Å follow each position.
Space group P4/mmm (No. 123)
Symmetry-distinct sites (fractional):
Ta1 0.0000 0.0000 0.0000 x1  8 Nb 3.32, 4 Fe 3.54
Nb1 0.0000 0.5000 0.5000 x2  2 I 2.51
Fe1 0.5000 0.5000 0.0000 x1  2 I 2.18
I1 0.5000 0.5000 0.5000 x1  2 Fe 2.18

Computed properties:
For the uncorrected formation energy, the calculation gives 8.5 eV/f.u. For the magnetic moment, the calculation gives 1.08 μB/f.u. The calculation puts the volume at 21.855 Å³ per atom.